Entry 1:
The following is a DFT calculation (PBE-GGA) of an optimized crystal structure of Er2TmCd6.

The structure in POSCAR format:
```
Er2TmCd6
1.0
8.576 0.000 0.000
-4.288 7.427 0.000
0.000 0.000 3.396
Er Tm Cd
2 1 6
Cartesian
0.000 4.952 0.000 Er
4.288 2.476 0.000 Er
0.000 0.000 0.000 Tm
-1.428 2.474 1.698 Cd
-2.860 4.954 1.698 Cd
2.856 0.000 1.698 Cd
1.428 2.474 1.698 Cd
5.720 0.000 1.698 Cd
2.860 4.954 1.698 Cd
```

Calculated values
Energy of formation from the pure elements, eV/atom: -0.296
Crystal system: hexagonal
Total moment, μB/f.u.: 0.0
Symmetry: No. 191


Entry 2:
The following is a DFT calculation (PBE-GGA) of an optimized crystal structure of LiTaFe2.

The structure in POSCAR format:
```
LiTaFe2
1.0
3.060 0.000 0.000
0.000 3.112 0.000
0.000 0.000 5.393
Li Ta Fe
1 1 2
Cartesian
0.000 0.000 0.000 Li
0.000 0.000 2.696 Ta
1.530 1.556 1.239 Fe
1.530 1.556 4.153 Fe
```

Calculated values
Energy of formation from the pure elements, eV/atom: 0.155
Crystal system: orthorhombic
Total moment, μB/f.u.: 2.2
Symmetry: No. 47


Q: Which of these has the lowest total moment?
A: Er2TmCd6